Arrangement 1

Computed, not measured: a relaxed structure of Mg2HO at the PBE level of DFT.

Cell: 4.762 4.762 5.817 Å, 65.84 65.84 90.00°
Atoms (fractional coordinates):
H 0.250 0.750 0.500
H 0.500 0.500 0.000
Mg 0.375 0.353 0.750
Mg 0.875 0.897 0.750
Mg 0.103 0.625 0.250
Mg 0.647 0.125 0.250
O 0.000 0.000 0.000
O 0.750 0.250 0.500

Calculated values
As for the space group: I-42d.

Arrangement 2

Computed, not measured: a relaxed structure of Mg2HO at the PBE level of DFT.

Cell: 3.138 3.138 5.318 Å, 72.84 72.84 60.00°
Atoms (fractional coordinates):
Mg 0.249 0.249 0.253
Mg 0.751 0.751 0.747
H 0.000 0.000 0.000
O 0.500 0.500 0.500

Calculated values
As for the space group: R-3m.

Tell me which of them is the least stable. Sure, it is arrangement 1.

Arrangement 1

Computed, not measured: a relaxed structure of LiCdHIr2 at the PBE level of DFT.

Cell: 3.885 3.885 4.248 Å, 90.00 90.00 90.00°
Atoms (fractional coordinates):
H 0.000 0.000 0.000
Ir 0.500 0.000 0.000
Ir 0.000 0.500 0.000
Cd 0.500 0.500 0.500
Li 0.000 0.000 0.500

Calculated values
As for the space group: P4/mmm.

Arrangement 2

Computed, not measured: a relaxed structure of LiCdHIr2 at the PBE level of DFT.

Cell: 4.636 3.084 4.636 Å, 90.00 90.00 90.00°
Atoms (fractional coordinates):
H 0.000 0.500 0.000
Li 0.000 0.000 0.000
Cd 0.500 0.500 0.500
Ir 0.500 0.000 0.000
Ir 0.000 0.000 0.500

Calculated values
As for the space group: P4/mmm.

Tell me which of them is the least stable. Sure, it is arrangement 2.